(1)
# Tc2IrPbW

Crystalline Tc2IrPbW at its relaxed geometry (GGA-PBE, Alexandria).

abc: 4.838 4.838 4.777
angles: 90.00 90.00 90.00
Space group P4/mmm (No. 123)
Asymmetric unit:
Tc1 0.000 0.500 0.000 [2 per cell]
Ir1 0.000 0.000 0.500 [1 per cell]
Pb1 0.000 0.000 0.000 [1 per cell]
W1 0.500 0.500 0.500 [1 per cell]

Properties
energy = -0.46564 Ry/atom
formation energy = 2.916 eV per atom
magnetic moment = 0.209 μB per atom

***

(2)
# TeIrPb2

Crystalline TeIrPb2 at its relaxed geometry (GGA-PBE, Alexandria).

abc: 8.920 3.925 6.959
angles: 90.00 112.84 90.00
Space group Cm (No. 8)
Asymmetric unit:
Te1 0.000 0.000 0.000 [2 per cell]
Ir1 0.306 0.000 0.035 [2 per cell]
Pb1 0.145 0.500 0.681 [2 per cell]
Pb2 0.334 0.500 0.346 [2 per cell]

Properties
formation energy from raw total energies = 0.12 eV/atom
energy = -0.34823 Ry/atom
magnetic moment = 0.000 μB per atom

***

(3)
# TeIrPb

Crystalline TeIrPb at its relaxed geometry (GGA-PBE, Alexandria).

abc: 3.371 3.371 13.227
angles: 90.00 90.00 90.00
Space group I4mm (No. 107)
Asymmetric unit:
Te1 0.000 0.000 0.000 [2 per cell]
Ir1 0.000 0.000 0.402 [2 per cell]
Pb1 0.000 0.000 0.745 [2 per cell]

Properties
formation energy from raw total energies = 0.16 eV/atom
energy relative to the lowest polymorph listed for this composition = 0.302 eV/atom
energy = -0.37319 Ry/atom
magnetic moment = 0.000 μB per atom

***

(4)
# TeIrPb2

Crystalline TeIrPb2 at its relaxed geometry (GGA-PBE, Alexandria).

abc: 6.609 6.609 13.204
angles: 90.00 90.00 90.00
Space group I-42d (No. 122)
Asymmetric unit:
Te1 0.000 0.000 0.000 [4 per cell]
Ir1 0.000 0.000 0.500 [4 per cell]
Pb1 0.187 0.250 0.625 [8 per cell]

Properties
formation energy from raw total energies = 0.35 eV/atom
energy = -0.33103 Ry/atom
magnetic moment = 0.000 μB per atom

***

(5)
# TeIr4Pb

Crystalline TeIr4Pb at its relaxed geometry (GGA-PBE, Alexandria).

abc: 7.638 7.638 7.638
angles: 90.00 90.00 90.00
Space group F-43m (No. 216)
Asymmetric unit:
Te1 0.000 0.000 0.000 [4 per cell]
Ir1 0.125 0.125 0.625 [16 per cell]
Pb1 0.250 0.250 0.250 [4 per cell]

Properties
formation energy from raw total energies = 0.57 eV/atom
energy = -0.47597 Ry/atom
magnetic moment = 0.000 μB per atom

***

(6)
# TeIrPb2

Crystalline TeIrPb2 at its relaxed geometry (GGA-PBE, Alexandria).

abc: 3.4526 3.4526 30.1322
angles: 90.00 90.00 120.00
Space group R-3m (No. 166, hexagonal axes)
Asymmetric unit:
Te1 0.0000 0.0000 0.0000 [3 per cell]
Ir1 0.0000 0.0000 0.5000 [3 per cell]
Pb1 0.0000 0.0000 0.2344 [6 per cell]

Properties
formation energy from raw total energies = 0.30 eV/atom
energy = -0.33508 Ry/atom
magnetic moment = 0.000 μB per atom

***

(7)
# TeIr3Pb

Crystalline TeIr3Pb at its relaxed geometry (GGA-PBE, Alexandria).

abc: 4.920 4.920 4.920
angles: 90.00 90.00 90.00
Space group Pm-3m (No. 221)
Asymmetric unit:
Te1 0.000 0.000 0.000 [1 per cell]
Ir1 0.000 0.000 0.500 [3 per cell]
Pb1 0.500 0.500 0.500 [1 per cell]

Properties
formation energy from raw total energies = 1.30 eV/atom
energy relative to the lowest polymorph listed for this composition = 0.000 eV/atom
energy = -0.39568 Ry/atom
magnetic moment = 0.245 μB per atom

***

(8)
# TeIrPb2

Crystalline TeIrPb2 at its relaxed geometry (GGA-PBE, Alexandria).

abc: 3.305 5.670 11.217
angles: 90.00 90.00 90.00
Space group Imm2 (No. 44)
Asymmetric unit:
Te1 0.000 0.000 0.000 [2 per cell]
Ir1 0.000 0.500 0.317 [2 per cell]
Pb1 0.000 0.000 0.605 [2 per cell]
Pb2 0.000 0.500 0.818 [2 per cell]

Properties
formation energy from raw total energies = 0.18 eV/atom
energy = -0.34365 Ry/atom
magnetic moment = 0.000 μB per atom

***

(9)
# Te2IrPb

Crystalline Te2IrPb at its relaxed geometry (GGA-PBE, Alexandria).

abc: 4.469 4.469 9.798
angles: 90.00 90.00 90.00
Space group I-4m2 (No. 119)
Asymmetric unit:
Te1 0.000 0.000 0.000 [2 per cell]
Te2 0.000 0.500 0.250 [2 per cell]
Ir1 0.000 0.500 0.750 [2 per cell]
Pb1 0.000 0.000 0.500 [2 per cell]

Properties
formation energy from raw total energies = 0.58 eV/atom
energy = -0.30362 Ry/atom
magnetic moment = 0.000 μB per atom

***

(10)
# TeIr2Pb

Crystalline TeIr2Pb at its relaxed geometry (GGA-PBE, Alexandria).

abc: 5.601 5.601 13.641
angles: 90.00 90.00 90.00
Space group I-42d (No. 122)
Asymmetric unit:
Te1 0.000 0.000 0.000 [4 per cell]
Ir1 0.220 0.250 0.125 [8 per cell]
Pb1 0.000 0.000 0.500 [4 per cell]

Properties
formation energy from raw total energies = 0.53 eV/atom
energy relative to the lowest polymorph listed for this composition = 0.305 eV/atom
energy = -0.41251 Ry/atom
magnetic moment = 0.000 μB per atom

***

(11)
# TeIrPb2

Crystalline TeIrPb2 at its relaxed geometry (GGA-PBE, Alexandria).

abc: 3.6994 3.6994 28.1938
angles: 90.00 90.00 120.00
Space group R3m (No. 160, hexagonal axes)
Asymmetric unit:
Te1 0.0000 0.0000 0.0000 [3 per cell]
Ir1 0.0000 0.0000 0.7168 [3 per cell]
Pb1 0.0000 0.0000 0.2221 [3 per cell]
Pb2 0.0000 0.0000 0.4570 [3 per cell]

Properties
formation energy from raw total energies = 0.09 eV/atom
energy = -0.35045 Ry/atom
magnetic moment = 0.000 μB per atom

***

(12)
# TeIrPb2

Crystalline TeIrPb2 at its relaxed geometry (GGA-PBE, Alexandria).

abc: 3.390 3.390 9.099
angles: 90.00 90.00 90.00
Space group P4mm (No. 99)
Asymmetric unit:
Te1 0.000 0.000 0.000 [1 per cell]
Ir1 0.500 0.500 0.142 [1 per cell]
Pb1 0.000 0.000 0.374 [1 per cell]
Pb2 0.500 0.500 0.676 [1 per cell]

Properties
formation energy from raw total energies = 0.16 eV/atom
energy = -0.34511 Ry/atom
magnetic moment = 0.000 μB per atom

***

(13)
# Te4IrPb

Crystalline Te4IrPb at its relaxed geometry (GGA-PBE, Alexandria).

abc: 8.820 8.820 8.820
angles: 90.00 90.00 90.00
Space group F-43m (No. 216)
Asymmetric unit:
Te1 0.123 0.123 0.123 [16 per cell]
Ir1 0.250 0.250 0.750 [4 per cell]
Pb1 0.000 0.000 0.500 [4 per cell]

Properties
formation energy from raw total energies = 0.98 eV/atom
energy = -0.23618 Ry/atom
magnetic moment = 0.230 μB per atom

***

(14)
# Te2IrPb

Crystalline Te2IrPb at its relaxed geometry (GGA-PBE, Alexandria).

abc: 4.218 4.218 5.905
angles: 90.00 90.36 90.00
Space group P2/m (No. 10)
Asymmetric unit:
Te1 0.000 0.000 0.000 [1 per cell]
Te2 0.500 0.500 0.500 [1 per cell]
Ir1 0.000 0.000 0.500 [1 per cell]
Pb1 0.500 0.500 0.000 [1 per cell]

Properties
formation energy from raw total energies = 0.34 eV/atom
energy = -0.32150 Ry/atom
magnetic moment = 0.000 μB per atom

***

(15)
# TeIr2Pb2

Crystalline TeIr2Pb2 at its relaxed geometry (GGA-PBE, Alexandria).

abc: 4.415 4.415 12.023
angles: 90.00 90.00 90.00
Space group I4/mmm (No. 139)
Asymmetric unit:
Te1 0.000 0.000 0.000 [2 per cell]
Ir1 0.000 0.000 0.394 [4 per cell]
Pb1 0.000 0.500 0.250 [4 per cell]

Properties
formation energy from raw total energies = 0.56 eV/atom
energy = -0.37431 Ry/atom
magnetic moment = 0.000 μB per atom

***

(16)
# Te2IrPb

Crystalline Te2IrPb at its relaxed geometry (GGA-PBE, Alexandria).

abc: 3.8963 3.8963 28.2735
angles: 90.00 90.00 120.00
Space group R-3m (No. 166, hexagonal axes)
Asymmetric unit:
Te1 0.0000 0.0000 0.1165 [6 per cell]
Ir1 0.0000 0.0000 0.5000 [3 per cell]
Pb1 0.0000 0.0000 0.0000 [3 per cell]

Properties
formation energy from raw total energies = -0.13 eV/atom
energy = -0.35625 Ry/atom
magnetic moment = 0.000 μB per atom

***

(17)
# TeIrPb2

Crystalline TeIrPb2 at its relaxed geometry (GGA-PBE, Alexandria).

abc: 4.281 5.315 10.108
angles: 90.00 90.00 90.00
Space group Amm2 (No. 38)
Asymmetric unit:
Te1 0.000 0.000 0.000 [2 per cell]
Ir1 0.500 0.000 0.164 [2 per cell]
Pb1 0.000 0.000 0.342 [2 per cell]
Pb2 0.500 0.000 0.684 [2 per cell]

Properties
formation energy from raw total energies = 0.04 eV/atom
energy = -0.35424 Ry/atom
magnetic moment = 0.000 μB per atom

***

(18)
# TeIr2Pb

Crystalline TeIr2Pb at its relaxed geometry (GGA-PBE, Alexandria).

abc: 3.164 3.764 6.877
angles: 90.00 90.00 90.00
Space group Pmmm (No. 47)
Asymmetric unit:
Te1 0.000 0.000 0.000 [1 per cell]
Ir1 0.000 0.500 0.290 [2 per cell]
Pb1 0.500 0.000 0.500 [1 per cell]

Properties
formation energy from raw total energies = 0.46 eV/atom
energy relative to the lowest polymorph listed for this composition = 0.237 eV/atom
energy = -0.41754 Ry/atom
magnetic moment = 0.000 μB per atom

***

(19)
# TeIrPb

Crystalline TeIrPb at its relaxed geometry (GGA-PBE, Alexandria).

abc: 3.9580 3.9580 5.7038
angles: 90.00 90.00 120.00
Space group P3m1 (No. 156)
Asymmetric unit:
Te1 0.0000 0.0000 0.0000 [1 per cell]
Ir1 0.6667 0.3333 0.2178 [1 per cell]
Pb1 0.3333 0.6667 0.5236 [1 per cell]

Properties
formation energy from raw total energies = 0.05 eV/atom
energy relative to the lowest polymorph listed for this composition = 0.188 eV/atom
energy = -0.38157 Ry/atom
magnetic moment = 0.000 μB per atom

***

(20)
# TeIr2Pb

Crystalline TeIr2Pb at its relaxed geometry (GGA-PBE, Alexandria).

abc: 4.019 4.019 9.669
angles: 90.00 90.00 90.00
Space group I-4m2 (No. 119)
Asymmetric unit:
Te1 0.000 0.000 0.000 [2 per cell]
Ir1 0.000 0.000 0.500 [2 per cell]
Ir2 0.000 0.500 0.750 [2 per cell]
Pb1 0.000 0.500 0.250 [2 per cell]

Properties
formation energy from raw total energies = 0.62 eV/atom
energy relative to the lowest polymorph listed for this composition = 0.391 eV/atom
energy = -0.40620 Ry/atom
magnetic moment = 0.000 μB per atom